A plane-wave DFT calculation with GGA-PBE was carried out for a geometry-optimized B2HIr structure.

Output
distance to the lowest polymorph of the same formula: 493 meV per atom
space group: Fm-3m

Cell: 3.629 3.629 3.629 Å, 60.00 60.00 60.00°
Fractional coordinates of all 4 atoms:
B1 0.250 0.250 0.250
B2 0.750 0.750 0.750
H1 0.000 0.000 0.000
Ir1 0.500 0.500 0.500